## NaCd2Hg2Pb (GGA-PBE)

Data for a relaxed structure of NaCd2Hg2Pb.

Structure (POSCAR):
```
NaCd2Hg2Pb
1.0
-4.2674 0.0456 -2.7173
-2.4825 -4.8642 3.8170
-3.5553 6.2785 5.6887
Pb Na Cd Hg
2 2 4 4
Direct
0.5000 0.6808 0.3052
0.5000 0.1808 0.6948
0.0000 0.9577 0.4694
0.0000 0.4577 0.5306
0.0000 0.8274 0.8103
0.0000 0.3274 0.1897
0.5000 0.0581 0.0278
0.5000 0.5581 0.9722
0.5000 0.6955 0.6538
0.5000 0.1955 0.3462
0.0000 0.3261 0.8685
0.0000 0.8261 0.1315
```

Output
The density of states at the Fermi level is 3.2 states/eV/cell. The value obtained for the formation energy is -0.0599 eV per atom.